VASP calculation (GGA-PBE) on crystalline LaPr2Nd6Y at its relaxed geometry.

Cell: 9.260 15.619 9.997 Å, 90.00 98.86 90.00°
Space group C2/c (No. 15)
One atom of each set of equivalent atoms:
La 0.000 0.095 0.250
Pr 0.241 0.448 0.042
Nd 0.063 0.316 0.445
Nd 0.104 0.104 0.621
Nd 0.200 0.275 0.815
Y 0.000 0.478 0.750

Computed properties:
The mass density comes out at 6.4 g/cm3. Its crystal system is monoclinic. The calculation puts the energy of formation at 0.11 eV/atom.



VASP calculation (GGA-PBE) on crystalline LaPr6Nd2Y3 at its relaxed geometry.

Cell: 6.384 11.064 12.123 Å, 90.00 100.11 90.00°
Space group C2/m (No. 12)
One atom of each set of equivalent atoms:
La 0.000 0.000 0.000
Pr 0.248 0.333 0.746
Pr 0.249 0.000 0.746
Nd 0.000 0.334 0.000
Y 0.000 0.167 0.500
Y 0.000 0.500 0.500

Computed properties:
The mass density comes out at 6.1 g/cm3. Its crystal system is monoclinic. The calculation puts the energy of formation at 0.01 eV/atom.



VASP calculation (GGA-PBE) on crystalline LaPr2Nd2Y4 at its relaxed geometry.

Cell: 19.081 3.683 9.775 Å, 90.00 115.75 90.00°
Space group C2/m (No. 12)
One atom of each set of equivalent atoms:
La 0.000 0.000 0.000
Pr 0.167 0.500 0.002
Nd 0.147 0.000 0.663
Y 0.020 0.500 0.335
Y 0.185 0.000 0.337

Computed properties:
The mass density comes out at 5.7 g/cm3. Its crystal system is monoclinic. The calculation puts the energy of formation at 0.00 eV/atom.



VASP calculation (GGA-PBE) on crystalline LaPr2Nd2Y at its relaxed geometry.

Cell: 7.177 5.839 10.078 Å, 90.00 90.00 90.00°
Space group Pmma (No. 51)
One atom of each set of equivalent atoms:
La 0.250 0.000 0.162
Pr 0.000 0.000 0.500
Pr 0.250 0.500 0.673
Nd 0.250 0.000 0.831
Nd 0.250 0.500 0.334
Y 0.000 0.500 0.000

Computed properties:
The mass density comes out at 6.3 g/cm3. Its crystal system is orthorhombic. The calculation puts the energy of formation at 0.05 eV/atom.



VASP calculation (GGA-PBE) on crystalline LaPr2NdY5 at its relaxed geometry.

Cell: 8.804 8.804 15.855 Å, 90.00 90.00 90.00°
Space group I4/mcm (No. 140)
One atom of each set of equivalent atoms:
La 0.000 0.000 0.250
Pr 0.118 0.382 0.000
Nd 0.000 0.500 0.250
Y 0.000 0.000 0.000
Y 0.208 0.292 0.364

Computed properties:
The mass density comes out at 5.5 g/cm3. Its crystal system is tetragonal. The calculation puts the energy of formation at 0.23 eV/atom.



VASP calculation (GGA-PBE) on crystalline LaPr6Nd2Y at its relaxed geometry.

Cell: 9.313 15.683 9.992 Å, 90.00 98.66 90.00°
Space group C2/c (No. 15)
One atom of each set of equivalent atoms:
La 0.000 0.095 0.250
Pr 0.063 0.319 0.446
Pr 0.103 0.104 0.620
Pr 0.203 0.275 0.815
Nd 0.241 0.449 0.043
Y 0.000 0.476 0.750

Computed properties:
The mass density comes out at 6.3 g/cm3. Its crystal system is monoclinic. The calculation puts the energy of formation at 0.11 eV/atom.



VASP calculation (GGA-PBE) on crystalline La5PrNd2Y at its relaxed geometry.

Cell: 9.166 9.166 15.566 Å, 90.00 90.00 90.00°
Space group I4/mcm (No. 140)
One atom of each set of equivalent atoms:
La 0.000 0.000 0.000
La 0.209 0.291 0.138
Pr 0.000 0.000 0.250
Nd 0.115 0.385 0.500
Y 0.000 0.500 0.250

Computed properties:
The mass density comes out at 6.2 g/cm3. Its crystal system is tetragonal. The calculation puts the energy of formation at 0.26 eV/atom.



VASP calculation (GGA-PBE) on crystalline La2Pr3NdY6 at its relaxed geometry.

Cell: 6.337 10.976 11.938 Å, 90.00 100.17 90.00°
Space group C2/m (No. 12)
One atom of each set of equivalent atoms:
La 0.000 0.167 0.000
Pr 0.000 0.000 0.500
Pr 0.000 0.333 0.500
Nd 0.000 0.500 0.000
Y 0.249 0.500 0.749
Y 0.250 0.166 0.749

Computed properties:
The mass density comes out at 5.6 g/cm3. Its crystal system is monoclinic. The calculation puts the energy of formation at 0.01 eV/atom.



VASP calculation (GGA-PBE) on crystalline La2Pr2Nd4Y at its relaxed geometry.

Cell: 19.314 3.724 9.910 Å, 90.00 115.61 90.00°
Space group C2/m (No. 12)
One atom of each set of equivalent atoms:
La 0.166 0.000 0.000
Pr 0.148 0.500 0.667
Nd 0.019 0.000 0.330
Nd 0.185 0.500 0.333
Y 0.000 0.500 0.000

Computed properties:
The mass density comes out at 6.3 g/cm3. Its crystal system is monoclinic. The calculation puts the energy of formation at 0.01 eV/atom.



VASP calculation (GGA-PBE) on crystalline LaPrNd2Y at its relaxed geometry.

Cell: 9.222 6.523 6.546 Å, 90.00 110.18 90.00°
Space group P2/c (No. 13)
One atom of each set of equivalent atoms:
La 0.000 0.000 0.000
Pr 0.500 0.164 0.250
Nd 0.317 0.319 0.659
Y 0.000 0.497 0.250

Computed properties:
The mass density comes out at 5.9 g/cm3. Its crystal system is monoclinic. The calculation puts the energy of formation at 0.26 eV/atom.



VASP calculation (GGA-PBE) on crystalline La3PrNd2Y6 at its relaxed geometry.

Cell: 6.336 10.974 11.929 Å, 90.00 100.19 90.00°
Space group C2/m (No. 12)
One atom of each set of equivalent atoms:
La 0.000 0.000 0.000
La 0.000 0.333 0.000
Pr 0.000 0.500 0.500
Nd 0.000 0.167 0.500
Y 0.249 0.000 0.748
Y 0.249 0.333 0.748

Computed properties:
The mass density comes out at 5.6 g/cm3. Its crystal system is monoclinic. The calculation puts the energy of formation at 0.01 eV/atom.



VASP calculation (GGA-PBE) on crystalline La2PrNdY at its relaxed geometry.

Cell: 6.485 5.954 9.874 Å, 90.00 109.07 90.00°
Space group P2_1/m (No. 11)
One atom of each set of equivalent atoms:
La 0.038 0.250 0.400
La 0.234 0.250 0.802
Pr 0.362 0.750 0.399
Nd 0.432 0.250 0.195
Y 0.163 0.750 0.000

Computed properties:
The mass density comes out at 6.0 g/cm3. Its crystal system is monoclinic. The calculation puts the energy of formation at 0.03 eV/atom.



Q: What is the mass density in the tenth record?
A: 5.9 g/cm3



Q: Look up the mass density of the third one.
A: 5.7 g/cm3